Crystalline HoSc2Ni at its relaxed geometry. Source: Alexandria via LeMat-Bulk, functional PBE.

Unit cell a=6.4941 b=9.1483 c=5.9867 alpha=90.00 beta=90.00 gamma=90.00
Space group Pnma (No. 62)
Symmetry-distinct sites (fractional):
Ho (0.0221, 0.2500, 0.1289)
Sc (0.1746, 0.0630, 0.6798)
Ni (0.1057, 0.7500, 0.4304)

Magnetic moment: 0.00 μB per atom
Excess energy over the best structure of this formula in the dataset: 0.0 kJ/mol of atoms
Electronic total energy: -96.298 eV per cell